{
  "formula": "KY2Mn",
  "functional": "PBE",
  "state": "optimized geometry",
  "cell": [[-2.4073, 2.4073, 5.3213], [2.4073, -2.4073, 5.3213], [2.4073, 2.4073, -5.3213]],
  "species": ["K", "Y", "Y", "Mn"],
  "fractional_positions": [[0.0000, 0.0000, 0.0000], [0.5000, 0.5000, 0.0000], [0.7500, 0.2500, 0.5000], [0.2500, 0.7500, 0.5000]],
  "spacegroup": "I-4m2, No. 119",
  "de_polymorph_ev_per_atom": 0.505,
  "formation_enthalpy_0k_ev_per_atom": 0.760
}

***

{
  "formula": "Nd6PbSe5",
  "functional": "PBE",
  "state": "optimized geometry",
  "cell": [[3.7139, -6.4358, 0.0000], [3.7139, 6.4358, 0.0000], [-2.4801, 0.0000, 7.0397]],
  "species": ["Nd", "Nd", "Nd", "Nd", "Nd", "Nd", "Pb", "Se", "Se", "Se", "Se", "Se"],
  "fractional_positions": [[0.0728, 0.4142, 0.7423], [0.2420, 0.2420, 0.2536], [0.4142, 0.0728, 0.7423], [0.5858, 0.9272, 0.2577], [0.7580, 0.7580, 0.7464], [0.9272, 0.5858, 0.2577], [0.5000, 0.5000, 0.0000], [0.0000, 0.0000, 0.5000], [0.1680, 0.8320, 0.0000], [0.3377, 0.6623, 0.5000], [0.6623, 0.3377, 0.5000], [0.8320, 0.1680, 0.0000]],
  "spacegroup": "C2/m, No. 12",
  "formation_energy_uncorrected_mev_per_atom": -1627
}

***

{
  "formula": "Ca2MgAu7",
  "functional": "PBE",
  "state": "optimized geometry",
  "cell": [[4.0025, 0.0000, 0.0000], [0.0000, 4.0025, 0.0000], [0.0000, 0.0000, 13.6416]],
  "species": ["Ca", "Ca", "Mg", "Au", "Au", "Au", "Au", "Au", "Au", "Au"],
  "fractional_positions": [[0.0000, 0.5000, 0.2425], [0.5000, 0.0000, 0.7575], [0.0000, 0.0000, 0.5000], [0.0000, 0.0000, 0.0000], [0.0000, 0.5000, 0.6489], [0.0000, 0.5000, 0.8484], [0.5000, 0.0000, 0.1516], [0.5000, 0.0000, 0.3511], [0.5000, 0.5000, 0.0000], [0.5000, 0.5000, 0.5000]],
  "spacegroup": "P-4m2, No. 115",
  "formation_enthalpy_0k_ev_per_atom": -0.528
}

***

{
  "formula": "ScZnSi2",
  "functional": "PBE",
  "state": "optimized geometry",
  "cell": [[1.5564, 0.8986, 8.2585], [-1.5564, 0.8986, 8.2585], [0.0000, -1.7972, 8.2585]],
  "species": ["Sc", "Zn", "Si", "Si"],
  "fractional_positions": [[0.0000, 0.0000, 0.0000], [0.2408, 0.2408, 0.2408], [0.4953, 0.4953, 0.4953], [0.7551, 0.7551, 0.7551]],
  "spacegroup": "R3m, No. 160",
  "formation_energy_uncorrected_mev_per_atom": 65
}

***

{
  "formula": "Mo2PSe",
  "functional": "PBE",
  "state": "optimized geometry",
  "cell": [[3.1134, 0.0000, 0.0000], [0.0000, 4.5793, 0.0000], [0.0000, 0.0000, 4.3483]],
  "species": ["Mo", "Mo", "P", "Se"],
  "fractional_positions": [[0.0000, 0.0000, 0.0000], [0.5000, 0.5000, 0.2315], [0.5000, 0.0000, 0.4544], [0.0000, 0.5000, 0.7354]],
  "spacegroup": "Pmm2, No. 25",
  "de_polymorph_ev_per_atom": 0.105,
  "formation_energy_uncorrected_mev_per_atom": -176
}

***

{
  "formula": "GdPaAgRh",
  "functional": "PBE",
  "state": "optimized geometry",
  "cell": [[0.0000, 3.5482, 3.5482], [3.5482, 0.0000, 3.5482], [3.5482, 3.5482, 0.0000]],
  "species": ["Gd", "Pa", "Ag", "Rh"],
  "fractional_positions": [[0.0000, 0.0000, 0.0000], [0.5000, 0.5000, 0.5000], [0.7500, 0.7500, 0.7500], [0.2500, 0.2500, 0.2500]],
  "spacegroup": "F-43m, No. 216",
  "formation_enthalpy_0k_ev_per_atom": -0.236
}